Record 1
This record from Alexandria describes a relaxed structure of BeIn2Cl. The functional is GGA-PBE.

Computed properties:
Crystal system ... tetragonal
E_form (uncorrected) ... 0.288 eV per atom
Distance to the lowest polymorph of the same formula ... 39.7 kJ per mole of atoms

Structure (POSCAR):
```
BeIn2Cl
1.0
-5.1570 0.8048 1.0787
-2.0474 -4.8851 -0.5913
4.1802 1.4062 2.9924
Be In Cl
1 2 1
direct
0.2500 0.7500 0.5000 Be
0.0000 0.0000 0.0000 In
0.5000 0.5000 0.0000 In
0.7500 0.2500 0.5000 Cl
```

=====

Record 2
This record from Alexandria describes a relaxed structure of PaCu2Bi. The functional is GGA-PBE.

Computed properties:
Energy of formation ... 0.151 eV per atom
Crystal system ... tetragonal
Distance to the lowest polymorph of the same formula ... 7.3 kJ per mole of atoms

Structure (POSCAR):
```
PaCu2Bi
1.0
-0.6332 1.1150 3.9934
-4.0785 -1.7679 -0.1530
1.6426 -3.9063 1.3511
Cu Bi Pa
2 1 1
direct
0.0000 0.0000 0.5000 Cu
0.0000 0.5000 0.0000 Cu
0.5000 0.0000 0.0000 Bi
0.5000 0.5000 0.5000 Pa
```

=====

Record 3
This record from Alexandria describes a relaxed structure of Ga2Cu8Si. The functional is GGA-PBE.

Computed properties:
Crystal system ... monoclinic
E_form (uncorrected) ... -0.073 eV per atom
Distance to the lowest polymorph of the same formula ... 0.0 kJ per mole of atoms

Structure (POSCAR):
```
Ga2Cu8Si
1.0
3.7227 0.0000 0.0000
0.0000 5.8416 0.3230
-1.8613 -2.2105 6.2193
Cu Ga Si
8 2 1
direct
0.9581 0.2689 0.9162 Cu
0.1372 0.1828 0.2743 Cu
0.4108 0.5573 0.8216 Cu
0.3233 0.0868 0.6465 Cu
0.5892 0.4427 0.1784 Cu
0.6767 0.9132 0.3535 Cu
0.0419 0.7311 0.0838 Cu
0.8628 0.8172 0.7257 Cu
0.2197 0.6464 0.4395 Ga
0.7803 0.3536 0.5605 Ga
0.5000 0.0000 0.0000 Si
```

=====

Values of total magnetic moment, in order: 0.0, 0.0, 0.0, all in Bohr magnetons per cell.